K2TaMnO6, relaxed, DFT PBE with a Hubbard U; electronic total energy = -70.07 eV per formula unit; size of the total moment = 3.9 Bohr magnetons per cell
1.0
5.582 0.000 0.000
2.791 4.834 0.000
2.791 1.611 4.557
K Ta Mn O
2 1 1 6
Cartesian
8.372 4.834 3.418
2.791 1.611 1.139
5.582 3.223 2.279
0.000 0.000 0.000
5.582 4.858 3.435
4.165 4.040 1.122
4.165 2.405 3.435
6.998 4.040 1.122
5.582 1.587 1.122
6.998 2.405 3.435